# VOsO2 PBE+U optimized geometry
data_VOsO2
_chemical_formula_sum 'V4 Os4 O8'
_space_group_name_H-M_alt 'F m -3 m'
_space_group_IT_number 225
_space_group_name_Hall '-F 4 2 3'
_cell_length_a 5.5187
_cell_length_b 5.5187
_cell_length_c 5.5187
_cell_angle_alpha 90.00
_cell_angle_beta 90.00
_cell_angle_gamma 90.00
loop_
_atom_site_label
_atom_site_type_symbol
_atom_site_fract_x
_atom_site_fract_y
_atom_site_fract_z
V1 V 0.0000 0.0000 0.0000
Os1 Os 0.0000 0.0000 0.5000
O1 O 0.2500 0.2500 0.2500
# Energy = -109.397 eV/cell